Entry 1:
VASP calculation (GGA-PBE) on crystalline SbRhN3 at its relaxed geometry.

The structure in CIF format:
```
data_SbRhN3
_cell_length_a 3.9276
_cell_length_b 3.9276
_cell_length_c 3.9276
_cell_angle_alpha 90.00
_cell_angle_beta 90.00
_cell_angle_gamma 90.00
_space_group_name_H-M_alt 'P m -3 m'
_space_group_IT_number 221
_space_group_name_Hall '-P 4 2 3'
loop_
_atom_site_label
_atom_site_type_symbol
_atom_site_fract_x
_atom_site_fract_y
_atom_site_fract_z
_atom_site_occupancy
Sb1 Sb 0.0000 0.0000 0.0000 1
Rh1 Rh 0.5000 0.5000 0.5000 1
N1 N 0.0000 0.5000 0.5000 1
```

Results
Final energy, eV per atom: -5.858
Total magnetic moment, μB/atom: 0.267
Uncorrected formation energy, meV/atom: 1432
Mass density, g/cm3: 7.3

Entry 2:
VASP calculation (GGA-PBE) on crystalline TbSm6Tm6 at its relaxed geometry.

The structure in CIF format:
```
data_TbSm6Tm6
_cell_length_a 6.6850
_cell_length_b 6.6850
_cell_length_c 11.3322
_cell_angle_alpha 90.00
_cell_angle_beta 90.00
_cell_angle_gamma 120.00
_space_group_name_H-M_alt 'P 6/m m m'
_space_group_IT_number 191
_space_group_name_Hall '-P 6 2'
loop_
_atom_site_label
_atom_site_type_symbol
_atom_site_fract_x
_atom_site_fract_y
_atom_site_fract_z
_atom_site_occupancy
Tb1 Tb 0.0000 0.0000 0.0000 1
Sm1 Sm 0.0000 0.0000 0.3422 1
Sm2 Sm 0.3333 0.6667 0.0000 1
Sm3 Sm 0.3333 0.6667 0.5000 1
Tm1 Tm 0.0000 0.5000 0.2443 1
```

Results
Final energy, eV per atom: -4.330
Total magnetic moment, μB/atom: 0.228
Mass density, g/cm3: 7.9
Calculated formation energy, meV/atom: 268

What is the formula in the second record? TbSm6Tm6

final energy of number 2 (TbSm6Tm6)? -4.330 eV per atom